# BeHg2Pt (PBEsol, optimized geometry)
# SG ... Immm
# Energy of formation from the pure elements ... 0.61 eV per formula unit
# Total magnetization ... 0.0 μB/cell
data_BeHg2Pt
_chemical_formula_sum 'Be1 Hg2 Pt1'
_symmetry_space_group_name_H-M 'P 1'
_symmetry_Int_Tables_number 1
_symmetry_space_group_name_Hall 'P 1'
_cell_length_a 3.5322
_cell_length_b 4.2266
_cell_length_c 5.1378
_cell_angle_alpha 114.29
_cell_angle_beta 110.11
_cell_angle_gamma 90.00
loop_
_atom_site_label
_atom_site_fract_x
_atom_site_fract_y
_atom_site_fract_z
Be1 0.0000 0.5000 0.0000
Hg1 0.7168 0.7168 0.4337
Hg2 0.2832 0.2832 0.5663
Pt1 0.5000 0.0000 0.0000

=====

# BeHgPt (PBEsol, optimized geometry)
# SG ... F-43m
# Energy of formation from the pure elements ... 1.58 eV per formula unit
# Total magnetization ... 0.0 μB/cell
data_BeHgPt
_chemical_formula_sum 'Be1 Hg1 Pt1'
_symmetry_space_group_name_H-M 'P 1'
_symmetry_Int_Tables_number 1
_symmetry_space_group_name_Hall 'P 1'
_cell_length_a 4.2463
_cell_length_b 4.2463
_cell_length_c 4.2463
_cell_angle_alpha 60.00
_cell_angle_beta 60.00
_cell_angle_gamma 60.00
loop_
_atom_site_label
_atom_site_fract_x
_atom_site_fract_y
_atom_site_fract_z
Be1 0.5000 0.5000 0.5000
Hg1 0.7500 0.7500 0.7500
Pt1 0.0000 0.0000 0.0000

=====

| no. | distance to the lowest polymorph of the same formula (meV/atom) | raw total energy (eV/atom) |
| --- | --- | --- |
| 1 | 282.9 | -2.8713 |
| 2 | 757.4 | -3.3167 |